Record 1
Below is a geometry-optimized ZrSiGe2Ir structure, with properties calculated at the GGA-PBE level.

Lattice parameters (Å, degrees): 4.865 4.534 4.865 90.00 90.00 90.00
Element x y z (fractional)
Zr: 0.500 0.500 0.500
Si: 0.000 0.500 0.000
Ge: 0.500 0.000 0.000
Ge: 0.000 0.000 0.500
Ir: 0.000 0.000 0.000

## Properties
- volume (Å³/f.u.) = 107
- space-group type = P4/mmm, No. 123
- crystal system = tetragonal
- formation energy from raw total energies (eV/atom) = 0.506



Record 2
Below is a geometry-optimized Sm3Ge3Ir2 structure, with properties calculated at the GGA-PBE level.

Lattice parameters (Å, degrees): 4.370 5.803 14.553 90.00 90.00 112.12
Element x y z (fractional)
Ge: 0.340 0.679 0.250
Ge: 0.371 0.743 0.965
Ge: 0.629 0.257 0.465
Ge: 0.660 0.321 0.750
Ge: 0.371 0.743 0.535
Ge: 0.629 0.257 0.035
Sm: 0.359 0.718 0.750
Sm: 0.084 0.168 0.890
Sm: 0.084 0.168 0.610
Sm: 0.916 0.832 0.390
Sm: 0.641 0.282 0.250
Sm: 0.916 0.832 0.110
Ir: 0.799 0.599 0.898
Ir: 0.799 0.599 0.602
Ir: 0.201 0.401 0.102
Ir: 0.201 0.401 0.398

## Properties
- volume (Å³/f.u.) = 171
- space-group type = Cmcm, No. 63
- crystal system = orthorhombic
- formation enthalpy at 0 K (meV per atom) = -875



Record 3
Below is a geometry-optimized Sm3Ge8Ir3 structure, with properties calculated at the GGA-PBE level.

Lattice parameters (Å, degrees): 4.209 8.371 8.371 79.04 75.44 75.44
Element x y z (fractional)
Ir: 0.000 0.206 0.794
Ir: 0.500 0.000 0.000
Ir: 0.000 0.794 0.206
Ge: 0.156 0.471 0.217
Ge: 0.844 0.783 0.529
Ge: 0.376 0.324 0.923
Ge: 0.624 0.676 0.077
Ge: 0.156 0.217 0.471
Ge: 0.844 0.529 0.783
Ge: 0.624 0.077 0.676
Ge: 0.376 0.923 0.324
Sm: 0.500 0.500 0.500
Sm: 0.817 0.183 0.183
Sm: 0.183 0.817 0.817

## Properties
- volume (Å³/f.u.) = 274
- space-group type = Immm, No. 71
- crystal system = orthorhombic
- formation enthalpy at 0 K (meV per atom) = -467



Record 4
Below is a geometry-optimized Sm4Ge9Ir13 structure, with properties calculated at the GGA-PBE level.

Lattice parameters (Å, degrees): 4.040 11.333 19.615 90.00 90.00 90.00
Element x y z (fractional)
Sm: 0.500 0.190 0.292
Sm: 0.000 0.690 0.708
Sm: 0.500 0.500 0.980
Sm: 0.000 0.500 0.522
Sm: 0.000 0.000 0.020
Sm: 0.500 0.810 0.292
Sm: 0.500 0.000 0.478
Sm: 0.000 0.310 0.708
Ir: 0.000 0.500 0.843
Ir: 0.500 0.500 0.273
Ir: 0.000 0.692 0.040
Ir: 0.000 0.127 0.854
Ir: 0.500 0.317 0.837
Ir: 0.500 0.192 0.960
Ir: 0.000 0.873 0.854
Ir: 0.000 0.308 0.040
Ir: 0.500 0.627 0.146
Ir: 0.500 0.000 0.157
Ir: 0.000 0.201 0.547
Ir: 0.500 0.683 0.837
Ir: 0.000 0.000 0.358
Ir: 0.500 0.701 0.453
Ir: 0.500 0.123 0.642
Ir: 0.000 0.377 0.358
Ir: 0.000 0.799 0.547
Ir: 0.500 0.877 0.642
Ir: 0.500 0.373 0.146
Ir: 0.000 0.817 0.163
Ir: 0.000 0.623 0.358
Ir: 0.500 0.808 0.960
Ir: 0.500 0.500 0.642
Ir: 0.500 0.299 0.453
Ir: 0.000 0.183 0.163
Ir: 0.000 0.000 0.727
Ge: 0.000 0.681 0.915
Ge: 0.000 0.187 0.419
Ge: 0.500 0.181 0.085
Ge: 0.500 0.819 0.085
Ge: 0.000 0.813 0.419
Ge: 0.000 0.629 0.231
Ge: 0.500 0.313 0.581
Ge: 0.500 0.500 0.399
Ge: 0.500 0.871 0.769
Ge: 0.500 0.000 0.899
Ge: 0.000 0.371 0.231
Ge: 0.500 0.500 0.767
Ge: 0.500 0.129 0.769
Ge: 0.000 0.000 0.233
Ge: 0.500 0.687 0.581
Ge: 0.000 0.500 0.101
Ge: 0.000 0.319 0.915
Ge: 0.000 0.000 0.601

## Properties
- volume (Å³/f.u.) = 449
- space-group type = Pmmn, No. 59
- crystal system = orthorhombic
- formation enthalpy at 0 K (meV per atom) = -661



Record 5
Below is a geometry-optimized Sm4Ge6Ir7 structure, with properties calculated at the GGA-PBE level.

Lattice parameters (Å, degrees): 7.367 7.367 7.367 109.47 109.47 109.47
Element x y z (fractional)
Ge: 0.000 0.322 0.322
Ge: 0.322 0.000 0.322
Ge: 0.322 0.322 0.000
Ge: 0.000 0.678 0.678
Ge: 0.678 0.678 0.000
Ge: 0.678 0.000 0.678
Sm: 0.000 0.000 0.500
Sm: 0.500 0.000 0.000
Sm: 0.000 0.500 0.000
Sm: 0.500 0.500 0.500
Ir: 0.750 0.250 0.500
Ir: 0.250 0.500 0.750
Ir: 0.500 0.750 0.250
Ir: 0.750 0.500 0.250
Ir: 0.000 0.000 0.000
Ir: 0.250 0.750 0.500
Ir: 0.500 0.250 0.750

## Properties
- volume (Å³/f.u.) = 308
- space-group type = Im-3m, No. 229
- crystal system = cubic
- formation enthalpy at 0 K (meV per atom) = -803



Record 6
Below is a geometry-optimized Sm3Ge5Ir6 structure, with properties calculated at the GGA-PBE level.

Lattice parameters (Å, degrees): 4.134 9.890 12.696 90.00 90.00 90.00
Element x y z (fractional)
Ge: 0.500 0.482 0.381
Ge: 0.500 0.482 0.619
Ge: 0.500 0.149 0.171
Ge: 0.000 0.518 0.881
Ge: 0.500 0.127 0.500
Ge: 0.000 0.873 0.000
Ge: 0.000 0.518 0.119
Ge: 0.500 0.149 0.829
Ge: 0.000 0.851 0.671
Ge: 0.000 0.851 0.329
Sm: 0.000 0.254 0.000
Sm: 0.000 0.253 0.337
Sm: 0.500 0.746 0.500
Sm: 0.000 0.253 0.663
Sm: 0.500 0.747 0.163
Sm: 0.500 0.747 0.837
Ir: 0.500 0.398 0.800
Ir: 0.500 0.993 0.332
Ir: 0.000 0.984 0.500
Ir: 0.000 0.602 0.700
Ir: 0.500 0.398 0.200
Ir: 0.500 0.503 0.000
Ir: 0.500 0.016 0.000
Ir: 0.000 0.007 0.832
Ir: 0.000 0.602 0.300
Ir: 0.000 0.007 0.168
Ir: 0.500 0.993 0.668
Ir: 0.000 0.497 0.500

## Properties
- volume (Å³/f.u.) = 260
- space-group type = Pmmn, No. 59
- crystal system = orthorhombic
- formation enthalpy at 0 K (meV per atom) = -756



Record 7
Below is a geometry-optimized Sm4GeIr3 structure, with properties calculated at the GGA-PBE level.

Lattice parameters (Å, degrees): 4.103 4.233 10.732 90.00 90.00 90.00
Element x y z (fractional)
Ir: 0.000 0.500 0.578
Ir: 0.500 0.000 0.929
Ir: 0.000 0.000 0.418
Sm: 0.000 0.500 0.853
Sm: 0.500 0.500 0.363
Sm: 0.500 0.000 0.644
Sm: 0.000 0.000 0.144
Ge: 0.500 0.500 0.071

## Properties
- volume (Å³/f.u.) = 186
- space-group type = Pmm2, No. 25
- crystal system = orthorhombic
- formation enthalpy at 0 K (meV per atom) = -737



Record 8
Below is a geometry-optimized Sm4Ge3Ir structure, with properties calculated at the GGA-PBE level.

Lattice parameters (Å, degrees): 4.302 4.090 10.965 90.00 90.00 90.00
Element x y z (fractional)
Sm: 0.000 0.000 0.135
Sm: 0.500 0.500 0.352
Sm: 0.000 0.500 0.867
Sm: 0.500 0.000 0.642
Ge: 0.500 0.000 0.923
Ge: 0.000 0.000 0.423
Ge: 0.000 0.500 0.583
Ir: 0.500 0.500 0.076

## Properties
- volume (Å³/f.u.) = 193
- space-group type = Pmm2, No. 25
- crystal system = orthorhombic
- formation enthalpy at 0 K (meV per atom) = -811



Record 9
Below is a geometry-optimized Sm3Ge13Ir4 structure, with properties calculated at the GGA-PBE level.

Lattice parameters (Å, degrees): 9.107 9.107 9.107 90.00 90.00 90.00
Element x y z (fractional)
Ge: 0.305 0.000 0.854
Ge: 0.305 0.000 0.146
Ge: 0.195 0.646 0.500
Ge: 0.000 0.854 0.305
Ge: 0.646 0.500 0.195
Ge: 0.195 0.354 0.500
Ge: 0.500 0.805 0.354
Ge: 0.146 0.695 0.000
Ge: 0.500 0.500 0.500
Ge: 0.000 0.854 0.695
Ge: 0.500 0.195 0.646
Ge: 0.805 0.646 0.500
Ge: 0.354 0.500 0.195
Ge: 0.500 0.195 0.354
Ge: 0.500 0.805 0.646
Ge: 0.695 0.000 0.146
Ge: 0.646 0.500 0.805
Ge: 0.146 0.305 0.000
Ge: 0.805 0.354 0.500
Ge: 0.000 0.146 0.695
Ge: 0.854 0.305 0.000
Ge: 0.000 0.146 0.305
Ge: 0.695 0.000 0.854
Ge: 0.854 0.695 0.000
Ge: 0.354 0.500 0.805
Ge: 0.000 0.000 0.000
Ir: 0.750 0.250 0.750
Ir: 0.750 0.250 0.250
Ir: 0.750 0.750 0.750
Ir: 0.750 0.750 0.250
Ir: 0.250 0.750 0.750
Ir: 0.250 0.250 0.750
Ir: 0.250 0.250 0.250
Ir: 0.250 0.750 0.250
Sm: 0.500 0.250 0.000
Sm: 0.750 0.000 0.500
Sm: 0.000 0.500 0.250
Sm: 0.000 0.500 0.750
Sm: 0.250 0.000 0.500
Sm: 0.500 0.750 0.000

## Properties
- volume (Å³/f.u.) = 378
- space-group type = Pm-3n, No. 223
- crystal system = cubic
- formation enthalpy at 0 K (meV per atom) = -519



Record 10
Below is a geometry-optimized SmGe3Ir2 structure, with properties calculated at the GGA-PBE level.

Lattice parameters (Å, degrees): 4.160 7.743 8.039 113.35 104.99 90.00
Element x y z (fractional)
Ge: 0.644 0.784 0.289
Ge: 0.356 0.216 0.711
Ge: 0.669 0.430 0.338
Ge: 0.984 0.644 0.968
Ge: 0.016 0.356 0.032
Ge: 0.331 0.570 0.662
Sm: 0.858 0.899 0.715
Sm: 0.142 0.101 0.285
Ir: 0.184 0.638 0.368
Ir: 0.816 0.362 0.632
Ir: 0.497 0.829 0.995
Ir: 0.503 0.171 0.005

## Properties
- volume (Å³/f.u.) = 114
- space-group type = C2/m, No. 12
- crystal system = monoclinic
- formation enthalpy at 0 K (meV per atom) = -521



Record 11
Below is a geometry-optimized Sm3Ge3Ir2 structure, with properties calculated at the GGA-PBE level.

Lattice parameters (Å, degrees): 5.839 8.163 14.469 90.00 90.00 90.00
Element x y z (fractional)
Ir: 0.118 0.913 0.598
Ir: 0.118 0.913 0.902
Ir: 0.618 0.587 0.402
Ir: 0.618 0.587 0.098
Ir: 0.882 0.087 0.098
Ir: 0.382 0.413 0.598
Ir: 0.382 0.413 0.902
Ir: 0.882 0.087 0.402
Sm: 0.623 0.042 0.612
Sm: 0.634 0.312 0.250
Sm: 0.866 0.812 0.250
Sm: 0.877 0.542 0.612
Sm: 0.123 0.458 0.112
Sm: 0.377 0.958 0.112
Sm: 0.134 0.188 0.750
Sm: 0.377 0.958 0.388
Sm: 0.123 0.458 0.388
Sm: 0.366 0.688 0.750
Sm: 0.623 0.042 0.888
Sm: 0.877 0.542 0.888
Ge: 0.607 0.336 0.750
Ge: 0.626 0.306 0.039
Ge: 0.626 0.306 0.461
Ge: 0.126 0.194 0.539
Ge: 0.393 0.664 0.250
Ge: 0.874 0.806 0.461
Ge: 0.874 0.806 0.039
Ge: 0.374 0.694 0.961
Ge: 0.107 0.164 0.250
Ge: 0.126 0.194 0.961
Ge: 0.374 0.694 0.539
Ge: 0.893 0.836 0.750

## Properties
- volume (Å³/f.u.) = 172
- space-group type = Pnma, No. 62
- crystal system = orthorhombic
- formation enthalpy at 0 K (meV per atom) = -846



Record 12
Below is a geometry-optimized Sm3GeIr structure, with properties calculated at the GGA-PBE level.

Lattice parameters (Å, degrees): 4.331 7.763 8.341 89.67 90.00 106.20
Element x y z (fractional)
Ge: 0.630 0.293 0.142
Ge: 0.414 0.861 0.280
Sm: 0.268 0.569 0.014
Sm: 0.072 0.177 0.385
Sm: 0.409 0.851 0.649
Sm: 0.776 0.585 0.407
Sm: 0.972 0.977 0.037
Sm: 0.635 0.303 0.773
Ir: 0.829 0.691 0.804
Ir: 0.215 0.463 0.618

## Properties
- volume (Å³/f.u.) = 135
- space-group type = C2/m, No. 12
- crystal system = monoclinic
- formation enthalpy at 0 K (meV per atom) = -639